Crystalline Sr2CoPbN at its relaxed geometry. Source: the Alexandria database, functional PBE.

Energy relative to the elements, uncorrected   -0.39 eV per atom
Calculated volume   116.9 Å³/cell
Total DFT energy (no corrections)   -4.89 eV per atom

Cell: 5.718 5.718 3.575 Å, 90.00 90.00 90.00°
Space group P4/mmm (No. 123)
Asymmetric unit:
1 Sr 0.000 0.500 0.000
2 Co 0.000 0.000 0.500
3 Pb 0.500 0.500 0.500
4 N 0.000 0.000 0.000